A plane-wave DFT calculation with PBE was carried out for a geometry-optimized Nd5Ho3Tm3 structure. Values from VASP.

DOS(E_F) ... 19.03 states/eV/cell
Total magnetization ... 0.059 μB per formula unit
Space-group type ... P-62m, No. 189
Relative energy among the computed polymorphs ... 0.032 eV/atom
Energy of formation ... 3.83 eV/f.u.

Quantum ESPRESSO input file:
```
&SYSTEM
  ibrav = 0, nat = 11, ntyp = 3
/
ATOMIC_SPECIES
Ho 164.93 Ho.upf
Tm 168.93 Tm.upf
Nd 144.24 Nd.upf
CELL_PARAMETERS angstrom
-2.1286 -0.5509 -2.6854
8.5565 -4.0364 -5.9543
-6.1644 -6.8778 6.2974
ATOMIC_POSITIONS crystal
Ho 0.0000 0.4074 0.4074
Ho 0.0000 0.0000 0.5926
Ho 0.0000 0.5926 0.0000
Tm 0.5000 0.6575 0.6575
Tm 0.5000 0.3425 0.0000
Tm 0.5000 0.0000 0.3425
Nd 0.5000 0.8374 0.0000
Nd 0.5000 0.3333 0.6667
Nd 0.5000 0.0000 0.8374
Nd 0.5000 0.1626 0.1626
Nd 0.5000 0.6667 0.3333
```


A plane-wave DFT calculation with PBE was carried out for a geometry-optimized Tb8Ge3SbTe4 structure. Values from VASP.

Energy relative to the elements, uncorrected ... -1.231 eV per atom
DOS(E_F) ... 3.49 states/eV/cell
Total magnetization ... 0.000 μB per formula unit
Space-group type ... R-3m, No. 166

Quantum ESPRESSO input file:
```
&SYSTEM
  ibrav = 0, nat = 16, ntyp = 4
/
ATOMIC_SPECIES
Tb 158.93 Tb.upf
Ge 72.64 Ge.upf
Te 127.60 Te.upf
Sb 121.76 Sb.upf
CELL_PARAMETERS angstrom
-6.6067 0.0104 5.4999
5.5555 -0.2705 6.6741
0.7112 6.2345 -5.8755
ATOMIC_POSITIONS crystal
Tb 0.7526 0.2750 0.0224
Tb 0.7403 0.7210 0.4807
Tb 0.2474 0.7250 0.9776
Tb 0.2698 0.2750 0.0224
Tb 0.7302 0.7250 0.9776
Tb 0.2474 0.7250 0.4948
Tb 0.7526 0.2750 0.5052
Tb 0.2597 0.2790 0.5193
Ge 0.0000 0.5000 0.5000
Ge 0.5000 0.5000 0.5000
Ge 0.5000 0.5000 0.0000
Te 0.0000 0.0000 0.0000
Te 0.0000 0.0000 0.5000
Te 0.5000 0.0000 0.0000
Te 0.5000 0.0000 0.5000
Sb 0.0000 0.5000 0.0000
```


A plane-wave DFT calculation with PBE was carried out for a geometry-optimized La5Ho4In4 structure. Values from VASP.

DOS(E_F) ... 15.48 states/eV/cell
Total magnetization ... 0.000 μB per formula unit
Space-group type ... I4/m, No. 87
Energy of formation ... -4.02 eV/f.u.

Quantum ESPRESSO input file:
```
&SYSTEM
  ibrav = 0, nat = 13, ntyp = 3
/
ATOMIC_SPECIES
Ho 164.93 Ho.upf
La 138.91 La.upf
In 114.82 In.upf
CELL_PARAMETERS angstrom
4.9207 0.0000 1.2511
2.4603 9.0825 0.6255
0.2223 0.0000 9.4280
ATOMIC_POSITIONS crystal
Ho 0.5974 0.3078 0.4974
Ho 0.4026 0.6922 0.5026
Ho 0.0948 0.5026 0.3078
Ho 0.9052 0.4974 0.6922
La 0.3039 0.0892 0.3030
La 0.0000 0.0000 0.0000
La 0.6961 0.9108 0.6970
La 0.6069 0.6970 0.0892
La 0.3931 0.3030 0.9108
In 0.2424 0.6671 0.8480
In 0.9096 0.8480 0.3329
In 0.0904 0.1520 0.6671
In 0.7576 0.3329 0.1520
```


A plane-wave DFT calculation with PBE was carried out for a geometry-optimized CdGa3Ag6 structure. Values from VASP.

DOS(E_F) ... 6.60 states/eV/cell
Total magnetization ... 0.000 μB per formula unit
Space-group type ... P2_1/m, No. 11
Relative energy among the computed polymorphs ... 0.000 eV/atom
Energy of formation ... -0.13 eV/f.u.

Quantum ESPRESSO input file:
```
&SYSTEM
  ibrav = 0, nat = 20, ntyp = 3
/
ATOMIC_SPECIES
Cd 112.41 Cd.upf
Ga 69.72 Ga.upf
Ag 107.87 Ag.upf
CELL_PARAMETERS angstrom
4.6415 0.0000 0.0000
0.0000 15.0002 -1.4264
0.0000 0.4311 5.1158
ATOMIC_POSITIONS crystal
Cd 0.2500 0.4958 0.1832
Cd 0.7500 0.5042 0.8168
Ga 0.2500 0.0956 0.1815
Ga 0.2500 0.1997 0.6864
Ga 0.7500 0.8003 0.3136
Ga 0.7500 0.3838 0.3404
Ga 0.2500 0.6162 0.6596
Ga 0.7500 0.9044 0.8185
Ag 0.7500 0.6041 0.3255
Ag 0.7500 0.1916 0.3508
Ag 0.7500 0.1009 0.8471
Ag 0.2500 0.3959 0.6745
Ag 0.7500 0.2955 0.8429
Ag 0.2500 0.2936 0.1823
Ag 0.7500 0.9972 0.3284
Ag 0.2500 0.8084 0.6492
Ag 0.2500 0.0028 0.6716
Ag 0.2500 0.8991 0.1529
Ag 0.7500 0.7064 0.8177
Ag 0.2500 0.7045 0.1571
```


A plane-wave DFT calculation with PBE was carried out for a geometry-optimized Rb2CaH structure. Values from VASP.

DOS(E_F) ... 0.39 states/eV/cell
Total magnetization ... 1.000 μB per formula unit
Space-group type ... I-42d, No. 122
Relative energy among the computed polymorphs ... 0.000 eV/atom

Quantum ESPRESSO input file:
```
&SYSTEM
  ibrav = 0, nat = 8, ntyp = 3
/
ATOMIC_SPECIES
Ca 40.08 Ca.upf
Rb 85.47 Rb.upf
H 1.01 H.upf
CELL_PARAMETERS angstrom
8.6437 0.0000 0.0000
0.0000 8.6437 0.0000
4.3219 4.3219 5.6860
ATOMIC_POSITIONS crystal
Ca 0.7500 0.2500 0.5000
Ca 0.0000 0.0000 0.0000
Rb 0.2913 0.6250 0.2500
Rb 0.3750 0.5413 0.7500
Rb 0.4587 0.1250 0.2500
Rb 0.8750 0.7087 0.7500
H 0.5000 0.5000 0.0000
H 0.2500 0.7500 0.5000
```


A plane-wave DFT calculation with PBE was carried out for a geometry-optimized Nd8Tm6Sc structure. Values from VASP.

DOS(E_F) ... 24.19 states/eV/cell
Total magnetization ... 0.001 μB per formula unit
Space-group type ... P-3, No. 147
Energy of formation ... 2.59 eV/f.u.

Quantum ESPRESSO input file:
```
&SYSTEM
  ibrav = 0, nat = 15, ntyp = 3
/
ATOMIC_SPECIES
Sc 44.96 Sc.upf
Nd 144.24 Nd.upf
Tm 168.93 Tm.upf
CELL_PARAMETERS angstrom
6.4748 0.0000 0.0000
0.0000 8.1067 -4.6804
0.0000 0.0000 9.3608
ATOMIC_POSITIONS crystal
Sc 0.5000 0.0000 0.0000
Nd 0.8223 0.7179 0.7603
Nd 0.1777 0.2821 0.2397
Nd 0.8700 0.3333 0.6667
Nd 0.1777 0.7603 0.0424
Nd 0.8223 0.0424 0.2821
Nd 0.1777 0.9576 0.7179
Nd 0.1300 0.6667 0.3333
Nd 0.8223 0.2397 0.9576
Tm 0.6616 0.4418 0.3445
Tm 0.6616 0.9027 0.5582
Tm 0.6616 0.6555 0.0973
Tm 0.3384 0.0973 0.4418
Tm 0.3384 0.5582 0.6555
Tm 0.3384 0.3445 0.9027
```


A plane-wave DFT calculation with PBE was carried out for a geometry-optimized YCdHg structure. Values from VASP.

DOS(E_F) ... 7.64 states/eV/cell
Total magnetization ... 0.000 μB per formula unit
Space-group type ... Pmma, No. 51
Energy of formation ... -1.20 eV/f.u.

Quantum ESPRESSO input file:
```
&SYSTEM
  ibrav = 0, nat = 18, ntyp = 3
/
ATOMIC_SPECIES
Hg 200.59 Hg.upf
Cd 112.41 Cd.upf
Y 88.91 Y.upf
CELL_PARAMETERS angstrom
3.8154 0.0000 0.0000
0.0000 8.1325 0.0000
0.0000 0.0000 14.3094
ATOMIC_POSITIONS crystal
Hg 0.5000 0.0687 0.4064
Hg 0.5000 0.9313 0.5936
Hg 0.5000 0.0687 0.0936
Hg 0.5000 0.9313 0.9064
Hg 0.0000 0.4378 0.7500
Hg 0.0000 0.5622 0.2500
Cd 0.5000 0.4331 0.3986
Cd 0.5000 0.5669 0.8986
Cd 0.5000 0.8380 0.2500
Cd 0.5000 0.5669 0.6014
Cd 0.5000 0.4331 0.1014
Cd 0.5000 0.1620 0.7500
Y 0.0000 0.1800 0.2500
Y 0.0000 0.7607 0.0553
Y 0.0000 0.2393 0.5553
Y 0.0000 0.8200 0.7500
Y 0.0000 0.7607 0.4447
Y 0.0000 0.2393 0.9447
```


A plane-wave DFT calculation with PBE was carried out for a geometry-optimized Ba3Sr2Tl structure. Values from VASP.

DOS(E_F) ... 13.61 states/eV/cell
Total magnetization ... 0.000 μB per formula unit
Space-group type ... Cmmm, No. 65
Energy of formation ... -0.77 eV/f.u.

Quantum ESPRESSO input file:
```
&SYSTEM
  ibrav = 0, nat = 12, ntyp = 3
/
ATOMIC_SPECIES
Ba 137.33 Ba.upf
Tl 204.38 Tl.upf
Sr 87.62 Sr.upf
CELL_PARAMETERS angstrom
-1.9796 -0.3915 -5.7458
6.8287 -5.2057 -5.2252
-7.0282 -9.3727 -3.3982
ATOMIC_POSITIONS crystal
Ba 0.7255 0.0000 0.7745
Ba 0.0140 0.3568 0.8076
Ba 0.6292 0.3568 0.1924
Ba 0.2745 0.0000 0.2255
Ba 0.9860 0.6432 0.1924
Ba 0.3708 0.6432 0.8076
Tl 0.6435 0.7130 0.0000
Tl 0.3565 0.2870 0.0000
Sr 0.8314 0.3373 0.5000
Sr 0.5000 0.0000 0.5000
Sr 0.0000 0.0000 0.0000
Sr 0.1686 0.6627 0.5000
```


A plane-wave DFT calculation with PBE was carried out for a geometry-optimized DyHoZr structure. Values from VASP.

DOS(E_F) ... 4.36 states/eV/cell
Total magnetization ... 0.000 μB per formula unit
Space-group type ... I4mm, No. 107
Relative energy among the computed polymorphs ... 0.000 eV/atom
Energy of formation ... 0.22 eV/f.u.

Quantum ESPRESSO input file:
```
&SYSTEM
  ibrav = 0, nat = 3, ntyp = 3
/
ATOMIC_SPECIES
Ho 164.93 Ho.upf
Dy 162.50 Dy.upf
Zr 91.22 Zr.upf
CELL_PARAMETERS angstrom
3.3955 0.0000 0.0000
0.0000 3.3955 0.0000
-1.6978 -1.6978 7.3150
ATOMIC_POSITIONS crystal
Ho 0.6771 0.6771 0.3543
Dy 0.9899 0.9899 0.9798
Zr 0.3329 0.3329 0.6659
```


A plane-wave DFT calculation with PBE was carried out for a geometry-optimized NbAg3Mo structure. Values from VASP.

DOS(E_F) ... 6.81 states/eV/cell
Total magnetization ... 0.000 μB per formula unit
Space-group type ... Pm-3m, No. 221
Energy of formation ... 9.94 eV/f.u.

Quantum ESPRESSO input file:
```
&SYSTEM
  ibrav = 0, nat = 5, ntyp = 3
/
ATOMIC_SPECIES
Mo 95.94 Mo.upf
Ag 107.87 Ag.upf
Nb 92.91 Nb.upf
CELL_PARAMETERS angstrom
-4.5630 -0.8740 -1.5806
1.5711 -4.0392 -2.3021
-0.8910 -2.6465 4.0355
ATOMIC_POSITIONS crystal
Mo 0.0000 0.0000 0.0000
Ag 0.0000 0.5000 0.0000
Ag 0.5000 0.0000 0.0000
Ag 0.0000 0.0000 0.5000
Nb 0.5000 0.5000 0.5000
```


A plane-wave DFT calculation with PBE was carried out for a geometry-optimized Pm2SiIr structure. Values from VASP.

Energy relative to the elements, uncorrected ... -0.521 eV per atom
DOS(E_F) ... 1.91 states/eV/cell
Total magnetization ... 0.000 μB per formula unit
Space-group type ... P4/mmm, No. 123

Quantum ESPRESSO input file:
```
&SYSTEM
  ibrav = 0, nat = 4, ntyp = 3
/
ATOMIC_SPECIES
Pm 145.00 Pm.upf
Ir 192.22 Ir.upf
Si 28.09 Si.upf
CELL_PARAMETERS angstrom
3.8432 0.0000 0.0000
0.0000 4.8358 0.0000
0.0000 0.0000 4.8358
ATOMIC_POSITIONS crystal
Pm 0.0000 0.5000 0.0000
Pm 0.0000 0.0000 0.5000
Ir 0.5000 0.0000 0.0000
Si 0.5000 0.5000 0.5000
```


A plane-wave DFT calculation with PBE was carried out for a geometry-optimized Sm2YSc3Bi6 structure. Values from VASP.

DOS(E_F) ... 2.10 states/eV/cell
Total magnetization ... 0.000 μB per formula unit
Space-group type ... C2/m, No. 12
Energy of formation ... -9.37 eV/f.u.

Quantum ESPRESSO input file:
```
&SYSTEM
  ibrav = 0, nat = 12, ntyp = 4
/
ATOMIC_SPECIES
Bi 208.98 Bi.upf
Y 88.91 Y.upf
Sc 44.96 Sc.upf
Sm 150.36 Sm.upf
CELL_PARAMETERS angstrom
-6.9067 3.2466 -0.2010
3.2119 -1.7369 6.7045
4.2763 5.9855 -1.9465
ATOMIC_POSITIONS crystal
Bi 0.2401 0.2401 0.7303
Bi 0.9109 0.5804 0.7321
Bi 0.7599 0.7599 0.2697
Bi 0.0891 0.4196 0.2679
Bi 0.4196 0.0891 0.2679
Bi 0.5804 0.9109 0.7321
Y 0.0000 0.0000 0.0000
Sc 0.1684 0.8316 0.5000
Sc 0.5000 0.5000 0.5000
Sc 0.8316 0.1684 0.5000
Sm 0.3339 0.6661 0.0000
Sm 0.6661 0.3339 0.0000
```